1.
A plane-wave DFT calculation with PBE-GGA was carried out for a relaxed structure of SrPm2In.

* energy above the most stable polymorph in this dataset: 0.198 eV per atom
* crystal system: trigonal
* ΔH_f (0 K): 51 meV/atom
* D(E_F): 5.73 states/eV per cell

```
4
Lattice="-1.161 -3.036 -1.881 1.233 -0.631 -3.490 9.437 -7.598 2.689" Properties=species:S:1:pos:R:3 pbc="T T T"
Pm 2.908 -5.588 -4.022
Pm 6.602 -5.677 1.340
Sr 0.000 0.000 0.000
In 4.755 -5.632 -1.341
```

=====

2.
A plane-wave DFT calculation with PBE-GGA was carried out for a relaxed structure of V6Si2H.

* E_tot: -7.972 eV/atom
* crystal system: monoclinic
* D(E_F): 13.05 states/eV per cell

```
18
Lattice="-2.003 3.664 2.637 -4.027 0.662 -3.979 -4.518 -5.172 3.712" Properties=species:S:1:pos:R:3 pbc="T T T"
Si -6.866 -0.313 3.523
Si -8.257 -1.070 0.722
Si -3.682 -0.532 -1.153
Si -2.291 0.224 1.647
V -3.714 -3.427 3.006
V -6.965 0.911 1.415
V -6.258 -2.138 1.712
V -6.010 -0.561 -0.339
V -4.538 -0.285 2.709
V -1.479 0.502 -0.665
V -4.038 1.719 -2.089
V -3.583 -1.756 0.955
V -6.834 2.582 -0.637
V -6.510 -2.565 4.459
V -9.069 -1.347 3.035
V -4.290 1.292 0.657
H -3.015 2.163 -0.671
H -2.259 -2.586 1.856
```